Here is crystalline MgBeGaNi at its relaxed geometry from the Open Quantum Materials Database. Energies are from PBE-GGA.

POSCAR file:
```
MgBeGaNi
1.0
3.640 -0.719 1.945
0.685 -3.688 1.866
2.754 -2.698 -1.640
Ni Ga Mg Be
1 1 1 1
Direct
0.750 0.750 0.750 Ni
0.250 0.250 0.250 Ga
0.500 0.500 0.500 Mg
0.000 0.000 0.000 Be
```

Results
* calculated total energy: -3.46 eV/atom
* density: 5164 kg/m³
* energy above the lowest structure with this stoichiometry: 91 meV/atom
* total moment: 0.000 μB per atom